Compound: Ca2TiIn
Source: the Alexandria database
Functional: GGA-PBE
Structure: relaxed

Lattice parameters (Å, degrees): 8.613 8.613 6.858 51.10 51.10 90.00
Site moments in Bohr magnetons follow the coordinates.
Atoms (fractional coordinates):
Ca  0.633  0.125  0.250  0.10
Ca  0.117  0.625  0.250  0.10
Ca  0.375  0.367  0.750  0.09
Ca  0.875  0.883  0.750  0.10
Ti  0.500  0.500  0.000  1.80
Ti  0.250  0.750  0.500  1.78
In  0.000  0.000  0.000  -0.03
In  0.750  0.250  0.500  -0.03

Summary:
**Size of the total moment**: 6.00 μB/cell
**Symmetry**: I-42d (122)
**Total energy**: -3.264 eV/atom